Material: TbTl2Mo3O12
Method: DFT, GGA+U
State: relaxed

Cell lengths 7.667, 7.667, 7.667 Å; angles 58.58, 58.58, 58.58 degrees
Atoms (fractional coordinates):
O 0.079 0.079 0.640
O 0.063 0.704 0.704
O 0.704 0.063 0.704
O 0.296 0.296 0.937
O 0.921 0.360 0.921
O 0.704 0.704 0.063
O 0.937 0.296 0.296
O 0.640 0.079 0.079
O 0.296 0.937 0.296
O 0.079 0.640 0.079
O 0.360 0.921 0.921
O 0.921 0.921 0.360
Mo 0.000 0.500 0.000
Mo 0.000 0.000 0.500
Mo 0.500 0.000 0.000
Tb 0.000 0.000 0.000
Tl 0.666 0.666 0.666
Tl 0.334 0.334 0.334

Calculated values
DFT total energy   -6.63 eV/atom